No. 1
Computed, not measured: CuI2NCl after structural relaxation at the PBE-GGA level of DFT.

Structure (extended XYZ):
```
5
Lattice="5.810 0.000 0.000 0.000 5.810 0.000 0.000 0.000 3.588" Properties=species:S:1:pos:R:3 pbc="T T T"
Cu 0.000 0.000 0.000
I 0.000 2.905 0.000
I 2.905 0.000 0.000
N 0.000 0.000 1.794
Cl 2.905 2.905 1.794
```

Computed properties:
Uncorrected formation energy (eV/f.u.): 4.2
M_tot (μB/atom): 0.49

No. 2
Computed, not measured: BaRhW after structural relaxation at the PBE-GGA level of DFT.

Structure (extended XYZ):
```
3
Lattice="4.206 0.000 0.000 -2.103 3.642 0.000 0.000 0.000 5.400" Properties=species:S:1:pos:R:3 pbc="T T T"
Ba 0.000 0.000 0.000
Rh 2.103 1.214 2.865
W 0.000 2.428 2.589
```

Computed properties:
Energy relative to the elements (eV per atom): 0.523
M_tot (μB/atom): 0.00

No. 3
Computed, not measured: Te3W after structural relaxation at the PBE-GGA level of DFT.

Structure (extended XYZ):
```
8
Lattice="-2.139 2.139 12.906 2.139 -2.139 12.906 2.139 2.139 -12.906" Properties=species:S:1:pos:R:3 pbc="T T T"
Te 2.139 0.000 0.000
Te 0.000 0.000 3.565
Te 2.139 0.000 6.453
Te 0.000 2.139 0.000
Te 0.000 2.139 6.453
Te 0.000 0.000 22.247
W 0.000 0.000 8.110
W 0.000 0.000 17.702
```

Computed properties:
Uncorrected formation energy (eV/f.u.): 2.9
M_tot (μB/atom): 0.00

No. 4
Computed, not measured: LiCd6 after structural relaxation at the PBE-GGA level of DFT.

Structure (extended XYZ):
```
7
Lattice="2.500 1.443 6.966 -2.500 1.443 6.966 0.000 -2.887 6.966" Properties=species:S:1:pos:R:3 pbc="T T T"
Li 0.000 0.000 0.000
Cd 0.000 0.000 2.874
Cd 0.000 0.000 5.947
Cd 0.000 0.000 8.888
Cd 0.000 0.000 12.010
Cd 0.000 0.000 14.951
Cd 0.000 0.000 18.024
```

Computed properties:
Energy relative to the elements (eV per atom): -0.062
M_tot (μB/atom): 0.00